(1)
The following is a PBE calculation of crystalline CaHoTlPb at its relaxed geometry, from the Alexandria database.

The structure in extended XYZ format:
```
4
Lattice="-3.290 4.351 0.033 -3.102 1.041 4.365 1.146 4.262 3.206" Properties=species:S:1:pos:R:3 pbc="T T T"
Pb -2.623 4.827 3.802
Tl 0.000 0.000 0.000
Ca -3.934 7.241 5.704
Ho -1.311 2.414 1.901
```

Computed properties:
- Space group: F-43m
- Distance to the lowest polymorph of the same formula: 19 meV/atom
- Energy of formation: -0.389 eV per atom


(2)
The following is a PBE calculation of crystalline Sr2AsBr at its relaxed geometry, from the Alexandria database.

The structure in extended XYZ format:
```
4
Lattice="5.509 0.000 0.000 2.755 4.771 0.000 2.755 1.590 4.498" Properties=species:S:1:pos:R:3 pbc="T T T"
Sr 0.000 0.000 0.000
Sr 2.755 1.590 1.125
As 5.509 3.181 2.249
Br 8.264 4.771 3.374
```

Computed properties:
- Space group: F-43m
- Uncorrected formation energy: -586 meV/atom


(3)
The following is a PBE calculation of crystalline InSnSb at its relaxed geometry, from the Alexandria database.

The structure in extended XYZ format:
```
3
Lattice="5.219 0.000 0.000 2.609 4.520 0.000 2.609 1.507 4.261" Properties=species:S:1:pos:R:3 pbc="T T T"
Sb 2.609 1.507 1.065
Sn 5.219 3.013 2.131
In 0.000 0.000 0.000
```

Computed properties:
- Space group: F-43m
- Distance to the lowest polymorph of the same formula: 111 meV/atom
- Uncorrected formation energy: 108 meV/atom


(4)
The following is a PBE calculation of crystalline Be7As6 at its relaxed geometry, from the Alexandria database.

The structure in extended XYZ format:
```
13
Lattice="-12.600 2.860 6.799 -10.872 0.548 9.730 -10.059 4.577 9.542" Properties=species:S:1:pos:R:3 pbc="T T T"
Be -14.649 4.500 10.757
Be -15.052 2.503 10.850
Be -13.792 3.354 12.210
Be -18.883 3.485 15.314
Be -19.739 4.631 13.861
Be -18.479 5.482 15.221
Be -16.766 3.992 13.036
As -2.408 0.573 1.872
As -31.124 7.412 24.199
As -6.330 1.507 4.922
As -27.201 6.478 21.149
As -11.639 2.772 9.050
As -21.892 5.213 17.021
```

Computed properties:
- Space group: R-3m
- Energy of formation: 0.194 eV per atom


(5)
The following is a PBE calculation of crystalline Ho3Bi5Pb12 at its relaxed geometry, from the Alexandria database.

The structure in extended XYZ format:
```
80
Lattice="15.882 0.000 0.000 -5.294 14.973 0.000 -5.294 -7.487 12.967" Properties=species:S:1:pos:R:3 pbc="T T T"
Ho 9.264 4.679 1.621
Ho 9.264 10.294 1.621
Ho -1.323 6.551 8.105
Ho 1.323 -0.936 4.863
Ho 11.911 0.000 3.242
Ho 1.323 7.487 3.242
Ho 3.970 0.000 9.725
Ho -6.617 7.487 9.725
Ho 3.970 8.422 8.105
Ho 6.617 0.936 4.863
Ho -3.970 -2.807 11.346
Ho -3.970 2.807 11.346
Bi -1.323 3.743 3.242
Bi -2.647 7.487 0.000
Bi 0.000 0.000 0.000
Bi 3.970 2.807 1.621
Bi 5.294 -3.743 6.484
Bi 5.294 7.487 0.000
Bi -3.970 8.422 4.863
Bi 6.617 -4.679 11.346
Bi 6.617 6.551 4.863
Bi 1.323 -3.743 9.725
Bi 3.970 11.230 3.242
Bi 2.647 3.743 6.484
Bi 7.941 0.000 0.000
Bi -2.647 -3.743 6.484
Bi -1.323 0.936 8.105
Bi -1.323 12.166 1.621
Bi -5.294 3.743 6.484
Bi 9.264 -0.936 8.105
Bi 1.323 4.679 11.346
Bi 6.617 3.743 9.725
Pb 10.625 1.510 0.853
Pb -0.037 5.237 5.602
Pb 11.498 3.504 3.430
Pb 7.031 2.525 1.734
Pb 2.118 5.999 8.684
Pb 10.932 7.233 2.201
Pb -0.910 8.466 5.164
Pb -4.384 12.448 1.734
Pb 0.529 8.975 8.684
Pb 7.596 7.740 2.201
Pb 7.904 3.760 4.750
Pb 7.904 13.463 0.853
Pb -4.765 6.777 7.336
Pb 2.991 5.707 1.320
Pb -5.257 11.214 4.750
Pb 2.610 -2.250 7.365
Pb -0.529 0.778 3.054
Pb 2.991 9.519 0.881
Pb 7.031 11.469 3.430
Pb -0.344 5.454 0.881
Pb -3.176 8.265 9.914
Pb 3.557 6.507 5.164
Pb 7.412 8.196 7.336
Pb 5.638 -1.779 11.648
Pb 1.737 0.979 7.803
Pb -2.118 -0.710 5.631
Pb -0.344 9.266 1.320
Pb -1.737 -3.982 9.537
Pb 8.470 -0.778 3.054
Pb 5.638 2.033 12.086
Pb 2.303 -2.033 12.086
Pb 2.684 9.737 5.602
Pb 5.823 6.708 9.914
Pb 10.551 -3.727 8.218
Pb 10.059 0.710 5.631
Pb -2.610 -5.977 12.114
Pb 2.303 1.779 11.648
Pb 4.765 -1.488 4.283
Pb -2.303 -0.253 10.766
Pb -2.610 3.727 8.218
Pb 9.678 -4.962 11.233
Pb 6.204 -0.979 7.803
Pb -1.737 4.962 11.233
Pb -5.638 0.253 10.766
Pb 3.176 1.488 4.283
Pb -6.204 3.982 9.537
Pb 5.331 2.250 7.365
Pb -5.331 5.977 12.114
```

Computed properties:
- Space group: Ia-3d
- Energy of formation: 0.147 eV per atom


(6)
The following is a PBE calculation of crystalline Na2BiF5 at its relaxed geometry, from the Alexandria database.

The structure in extended XYZ format:
```
32
Lattice="-4.282 -4.484 -1.728 4.392 -2.167 -5.262 4.310 -6.540 6.290" Properties=species:S:1:pos:R:3 pbc="T T T"
Na 3.590 -8.706 1.712
Na 0.831 -4.484 -2.411
Na 0.846 -9.995 -0.129
Na 2.991 -5.550 -4.999
Na 3.575 -3.195 -0.570
Na 1.431 -7.640 4.299
Na 1.415 -2.130 2.017
Na 3.006 -11.060 -2.717
Bi 1.492 -5.721 1.146
Bi 2.929 -7.469 -1.846
Bi 3.651 -12.239 0.721
Bi 0.770 -0.951 -1.421
F 3.042 -4.140 1.789
F 1.379 -9.050 -2.489
F 5.169 -10.608 1.316
F -0.748 -2.582 -2.016
F 5.304 -7.552 -1.890
F -0.883 -5.639 1.190
F 0.433 -9.787 3.997
F 0.960 -6.548 -1.019
F 3.988 -3.403 -4.697
F 3.461 -6.642 0.319
F 2.144 -2.494 -2.488
F 2.277 -10.696 1.788
F 3.642 -6.546 3.280
F 0.779 -6.644 -3.980
F 3.402 -9.423 -0.646
F 1.019 -3.767 -0.054
F 1.291 -7.869 1.862
F 3.130 -5.321 -2.562
F 6.221 -7.611 0.961
F -1.800 -5.580 -1.661
```

Computed properties:
- Space group: Pnma
- Uncorrected formation energy: -2594 meV/atom


(7)
The following is a PBE calculation of crystalline Sr2CrMoOs at its relaxed geometry, from the Alexandria database.

The structure in extended XYZ format:
```
5
Lattice="5.843 0.000 0.000 0.000 4.670 0.000 0.000 0.000 5.843" Properties=species:S:1:pos:R:3 pbc="T T T"
Sr 0.000 0.000 2.921
Sr 2.921 0.000 0.000
Mo 0.000 0.000 0.000
Os 0.000 2.335 0.000
Cr 2.921 2.335 2.921
```

Computed properties:
- Space group: P4/mmm
- Energy of formation: 1.406 eV per atom


(8)
The following is a PBE calculation of crystalline Li2Mg3Ga3 at its relaxed geometry, from the Alexandria database.

The structure in extended XYZ format:
```
8
Lattice="2.983 0.000 0.000 0.000 6.564 -3.790 0.000 0.000 7.579" Properties=species:S:1:pos:R:3 pbc="T T T"
Li 0.000 2.188 3.790
Li 0.000 4.376 0.000
Mg 0.000 4.885 2.820
Mg 0.000 1.679 -0.969
Mg 0.000 0.000 1.938
Ga 1.491 2.470 1.426
Ga 1.491 4.093 -2.363
Ga 1.491 0.000 4.726
```

Computed properties:
- Space group: P-62m
- Distance to the lowest polymorph of the same formula: 0 meV/atom
- Energy of formation: -0.185 eV per atom


no.,density (kg/m³),energy (eV/atom)
1,8920,-3.55
2,4636,-3.01
3,5870,-3.51
4,4030,-3.96
5,8672,-3.73
6,5001,-4.58
7,5347,-5.60
8,3312,-2.40